Entry from Alexandria via LeMat-Bulk: a relaxed structure of Sm4Sb2Pt (PBE). Values from VASP.

Structure (Quantum ESPRESSO input):
```
&SYSTEM
  ibrav = 0, nat = 7, ntyp = 3
/
ATOMIC_SPECIES
Sm 150.36 Sm.upf
Sb 121.76 Sb.upf
Pt 195.08 Pt.upf
ATOMIC_POSITIONS crystal
Sm 0.116 0.116 0.432
Sm 0.382 0.382 0.020
Sm 0.618 0.618 0.980
Sm 0.884 0.884 0.568
Sb 0.266 0.266 0.267
Sb 0.734 0.734 0.733
Pt 0.000 0.000 0.000
CELL_PARAMETERS angstrom
7.934 -2.171 0.000
7.934 2.171 0.000
-3.327 0.000 6.659
```

## Properties
N(E_F)	0.809	states/eV per atom
crystal system	monoclinic
energy	-39.11	eV/cell
formation energy (no corrections)	-0.85	eV per atom


Entry from Alexandria via LeMat-Bulk: a relaxed structure of SmSb2Pt9 (PBE). Values from VASP.

Structure (Quantum ESPRESSO input):
```
&SYSTEM
  ibrav = 0, nat = 12, ntyp = 3
/
ATOMIC_SPECIES
Sm 150.36 Sm.upf
Sb 121.76 Sb.upf
Pt 195.08 Pt.upf
ATOMIC_POSITIONS crystal
Sm 0.000 0.000 0.000
Sb 0.000 0.000 0.333
Sb 0.000 0.000 0.667
Pt 0.000 0.500 0.174
Pt 0.000 0.500 0.500
Pt 0.000 0.500 0.826
Pt 0.500 0.000 0.174
Pt 0.500 0.000 0.500
Pt 0.500 0.000 0.826
Pt 0.500 0.500 0.000
Pt 0.500 0.500 0.339
Pt 0.500 0.500 0.661
CELL_PARAMETERS angstrom
4.135 0.000 0.000
0.000 4.135 0.000
0.000 0.000 12.228
```

## Properties
N(E_F)	0.496	states/eV per atom
crystal system	tetragonal
energy	-72.38	eV/cell
formation energy (no corrections)	-0.42	eV per atom